## Zr4Pt3 (PBE)

Data for crystalline Zr4Pt3 at its relaxed geometry.

Summary:
Energy above the lowest structure with this stoichiometry = 13.1 meV/atom
Crystal system = hexagonal
Formation energy from the elements = -0.8085 eV/atom

a b c (Å): 5.4052 5.4052 5.2687
angles (deg): 90.00 90.00 120.00
Fractional positions:
Zr  0.0000  0.0000  0.2491
Zr  0.0000  0.0000  0.7509
Zr  0.3333  0.6667  0.0000
Zr  0.6667  0.3333  0.0000
Pt  0.0000  0.5000  0.5000
Pt  0.5000  0.0000  0.5000
Pt  0.5000  0.5000  0.5000

## AcPuZnGe (PBE)

Data for crystalline AcPuZnGe at its relaxed geometry.

Summary:
Crystal system = cubic
Formation energy from the elements = -0.2765 eV/atom

a b c (Å): 5.3089 5.3089 5.3089
angles (deg): 60.00 60.00 60.00
Fractional positions:
Ac  0.0000  0.0000  0.0000
Pu  0.5000  0.5000  0.5000
Zn  0.2500  0.2500  0.2500
Ge  0.7500  0.7500  0.7500

## Be2CdSi2 (PBE)

Data for crystalline Be2CdSi2 at its relaxed geometry.

Summary:
Crystal system = tetragonal
Uncorrected formation energy = 0.2919 eV/atom

a b c (Å): 5.6587 5.6587 5.6587
angles (deg): 140.08 140.08 57.74
Fractional positions:
Be  0.2500  0.7500  0.5000
Be  0.7500  0.2500  0.5000
Cd  0.0000  0.0000  0.0000
Si  0.3804  0.3804  0.0000
Si  0.6196  0.6196  0.0000

## LiTe2Au (PBE)

Data for crystalline LiTe2Au at its relaxed geometry.

Summary:
Crystal system = orthorhombic
Uncorrected formation energy = -0.3744 eV/atom

a b c (Å): 6.7870 6.7870 6.7870
angles (deg): 145.05 139.88 54.24
Fractional positions:
Li  0.0000  0.0000  0.0000
Te  0.3511  0.8511  0.5000
Te  0.6489  0.1489  0.5000
Au  0.5000  0.5000  0.0000

no.,density of states at the Fermi level (states/eV per cell)
1,5.4
2,9.9
3,1.0
4,0.5